{"formula": "ZnCdSbI2", "functional": "PBE", "state": "optimized geometry", "raw_formation_energy_ev_per_atom": 0.370, "final_energy_ev_per_atom": -1.5118, "total_magnetization_mub_per_cell": 1.3, "mass_density_g_cm3": 4.56, "de_polymorph_ev_per_atom": 0.131, "cell": [[5.915, 0.000, 0.000], [0.000, 5.915, 0.000], [0.000, 0.000, 5.765]], "species": ["Zn", "Cd", "Sb", "I", "I"], "fractional_positions": [[0.000, 0.000, 0.000], [0.500, 0.500, 0.500], [0.500, 0.500, 0.000], [0.000, 0.500, 0.500], [0.500, 0.000, 0.500]]}

{"formula": "La3NdTc", "functional": "PBE", "state": "optimized geometry", "final_energy_ev_per_atom": -5.8992, "formation_energy_ev_per_atom": 0.084, "total_magnetization_mub_per_cell": 0.0, "mass_density_g_cm3": 6.33, "de_polymorph_ev_per_atom": 0.063, "cell": [[5.572, 0.000, 0.000], [0.000, 5.572, 0.000], [0.000, 0.000, 5.572]], "species": ["La", "La", "La", "Nd", "Tc"], "fractional_positions": [[0.000, 0.000, 0.500], [0.000, 0.500, 0.000], [0.500, 0.000, 0.000], [0.500, 0.500, 0.500], [0.000, 0.000, 0.000]]}

{"formula": "RbSeI", "functional": "PBE", "state": "optimized geometry", "raw_formation_energy_ev_per_atom": -0.819, "final_energy_ev_per_atom": -2.8196, "total_magnetization_mub_per_cell": 0.0, "mass_density_g_cm3": 3.46, "de_polymorph_ev_per_atom": 0.000, "cell": [[4.433, 0.000, 0.000], [0.000, 5.921, 0.000], [-2.208, -2.938, 10.663]], "species": ["Rb", "Rb", "Se", "Se", "I", "I"], "fractional_positions": [[0.074, 0.325, 0.150], [0.926, 0.675, 0.850], [0.273, 0.524, 0.547], [0.727, 0.476, 0.453], [0.424, 0.173, 0.844], [0.576, 0.827, 0.156]]}

{"formula": "CaTlCl2F", "functional": "PBE", "state": "optimized geometry", "raw_formation_energy_ev_per_atom": -2.222, "final_energy_ev_per_atom": -4.2081, "total_magnetization_mub_per_cell": 0.0, "mass_density_g_cm3": 3.92, "de_polymorph_ev_per_atom": 0.038, "cell": [[7.940, 0.000, 0.000], [0.000, 4.084, 0.000], [-2.591, 0.000, 8.728]], "species": ["Ca", "Ca", "Tl", "Tl", "Cl", "Cl", "Cl", "Cl", "F", "F"], "fractional_positions": [[0.191, 0.250, 0.180], [0.809, 0.750, 0.820], [0.310, 0.250, 0.689], [0.690, 0.750, 0.311], [0.148, 0.750, 0.369], [0.180, 0.750, 0.965], [0.820, 0.250, 0.035], [0.852, 0.250, 0.631], [0.472, 0.250, 0.259], [0.528, 0.750, 0.741]]}